Density functional theory data (PBE) for a geometry-optimized VAsSeBr2 structure.

a b c (Å): 5.170 5.170 5.336
angles (deg): 90.00 90.00 90.00
Element x y z (fractional)
1 V 0.000 0.000 0.000
2 As 0.500 0.500 0.500
3 Se 0.500 0.500 0.000
4 Br 0.000 0.500 0.500
5 Br 0.500 0.000 0.500

Output
The formation energy (no corrections) comes out at 0.49 eV per atom. The calculation puts the magnetization at 3.67 μB per formula unit. The value obtained for the density of states at the Fermi level is 0.957 states/eV/atom.